# 1
An optimized crystal structure of Re2AsOs. Source: Alexandria via LeMat-Bulk, functional PBE-GGA.

## Properties
E	-9.97	eV/atom
ΔH_f (0 K)	0.23	eV per atom

Cell and atoms, written as CIF:
```
data_Re2AsOs
_symmetry_space_group_name_H-M 'P 4/m m m'
_symmetry_Int_Tables_number 123
_symmetry_space_group_name_Hall '-P 4 2'
_cell_length_a 2.9376
_cell_length_b 2.9376
_cell_length_c 6.7617
_cell_angle_alpha 90.00
_cell_angle_beta 90.00
_cell_angle_gamma 90.00
loop_
_atom_site_label
_atom_site_fract_x
_atom_site_fract_y
_atom_site_fract_z
Re1 0.0000 0.0000 0.2346
As1 0.5000 0.5000 0.0000
Os1 0.5000 0.5000 0.5000
```



# 2
An optimized crystal structure of ReAsOs2. Source: Alexandria via LeMat-Bulk, functional PBE-GGA.

## Properties
E	-9.27	eV/atom
ΔH_f (0 K)	0.62	eV per atom

Cell and atoms, written as CIF:
```
data_ReAsOs2
_symmetry_space_group_name_H-M 'P 4/m m m'
_symmetry_Int_Tables_number 123
_symmetry_space_group_name_Hall '-P 4 2'
_cell_length_a 4.5714
_cell_length_b 4.5714
_cell_length_c 2.8821
_cell_angle_alpha 90.00
_cell_angle_beta 90.00
_cell_angle_gamma 90.00
loop_
_atom_site_label
_atom_site_fract_x
_atom_site_fract_y
_atom_site_fract_z
Re1 0.0000 0.0000 0.0000
As1 0.5000 0.5000 0.0000
Os1 0.0000 0.5000 0.5000
```



# 3
An optimized crystal structure of ReAsOs2. Source: Alexandria via LeMat-Bulk, functional PBE-GGA.

## Properties
E	-9.22	eV/atom
ΔH_f (0 K)	0.67	eV per atom

Cell and atoms, written as CIF:
```
data_ReAsOs2
_symmetry_space_group_name_H-M 'C m m m'
_symmetry_Int_Tables_number 65
_symmetry_space_group_name_Hall '-C 2 2'
_cell_length_a 2.7903
_cell_length_b 4.7279
_cell_length_c 9.4622
_cell_angle_alpha 90.00
_cell_angle_beta 90.00
_cell_angle_gamma 90.00
loop_
_atom_site_label
_atom_site_fract_x
_atom_site_fract_y
_atom_site_fract_z
Re1 0.0000 0.0000 0.0000
As1 0.0000 0.0000 0.5000
Os1 0.0000 0.5000 0.2377
```



# 4
An optimized crystal structure of ReAsOs2. Source: Alexandria via LeMat-Bulk, functional PBE-GGA.

## Properties
E	-9.56	eV/atom
ΔH_f (0 K)	0.33	eV per atom

Cell and atoms, written as CIF:
```
data_ReAsOs2
_symmetry_space_group_name_H-M 'P 1 2/m 1'
_symmetry_Int_Tables_number 10
_symmetry_space_group_name_Hall '-P 2y'
_cell_length_a 2.8218
_cell_length_b 4.0737
_cell_length_c 5.2858
_cell_angle_alpha 90.00
_cell_angle_beta 104.08
_cell_angle_gamma 90.00
loop_
_atom_site_label
_atom_site_fract_x
_atom_site_fract_y
_atom_site_fract_z
Re1 0.0000 0.0000 0.0000
As1 0.0000 0.0000 0.5000
Os1 0.3722 0.5000 0.7440
```



# 5
An optimized crystal structure of ReAs2Os. Source: Alexandria via LeMat-Bulk, functional PBE-GGA.

## Properties
E	-8.14	eV/atom
energy relative to the lowest polymorph listed for this composition	0.00	eV/f.u.
ΔH_f (0 K)	0.11	eV per atom

Cell and atoms, written as CIF:
```
data_ReAs2Os
_symmetry_space_group_name_H-M 'P 4 m m'
_symmetry_Int_Tables_number 99
_symmetry_space_group_name_Hall 'P 4 -2'
_cell_length_a 2.9041
_cell_length_b 2.9041
_cell_length_c 8.2838
_cell_angle_alpha 90.00
_cell_angle_beta 90.00
_cell_angle_gamma 90.00
loop_
_atom_site_label
_atom_site_fract_x
_atom_site_fract_y
_atom_site_fract_z
Re1 0.0000 0.0000 0.0000
As1 0.0000 0.0000 0.5829
As2 0.5000 0.5000 0.2032
Os1 0.5000 0.5000 0.7801
```



# 6
An optimized crystal structure of Re2AsOs. Source: Alexandria via LeMat-Bulk, functional PBE-GGA.

## Properties
E	-9.93	eV/atom
ΔH_f (0 K)	0.26	eV per atom

Cell and atoms, written as CIF:
```
data_Re2AsOs
_symmetry_space_group_name_H-M 'A m m 2'
_symmetry_Int_Tables_number 38
_symmetry_space_group_name_Hall 'A 2 -2'
_cell_length_a 4.0321
_cell_length_b 2.8409
_cell_length_c 10.3983
_cell_angle_alpha 90.00
_cell_angle_beta 90.00
_cell_angle_gamma 90.00
loop_
_atom_site_label
_atom_site_fract_x
_atom_site_fract_y
_atom_site_fract_z
Re1 0.0000 0.0000 0.0000
Re2 0.5000 0.0000 0.3737
As1 0.5000 0.0000 0.6095
Os1 0.0000 0.0000 0.7408
```



# 7
An optimized crystal structure of Re2AsOs. Source: Alexandria via LeMat-Bulk, functional PBE-GGA.

## Properties
E	-9.62	eV/atom
ΔH_f (0 K)	0.58	eV per atom

Cell and atoms, written as CIF:
```
data_Re2AsOs
_symmetry_space_group_name_H-M 'I 4/m m m'
_symmetry_Int_Tables_number 139
_symmetry_space_group_name_Hall '-I 4 2'
_cell_length_a 3.8533
_cell_length_b 3.8533
_cell_length_c 7.9901
_cell_angle_alpha 90.00
_cell_angle_beta 90.00
_cell_angle_gamma 90.00
loop_
_atom_site_label
_atom_site_fract_x
_atom_site_fract_y
_atom_site_fract_z
Re1 0.0000 0.5000 0.2500
As1 0.0000 0.0000 0.0000
Os1 0.0000 0.0000 0.5000
```



# 8
An optimized crystal structure of ReAsOs2. Source: Alexandria via LeMat-Bulk, functional PBE-GGA.

## Properties
E	-9.52	eV/atom
ΔH_f (0 K)	0.37	eV per atom

Cell and atoms, written as CIF:
```
data_ReAsOs2
_symmetry_space_group_name_H-M 'I m m 2'
_symmetry_Int_Tables_number 44
_symmetry_space_group_name_Hall 'I 2 -2'
_cell_length_a 2.9312
_cell_length_b 4.4335
_cell_length_c 8.9976
_cell_angle_alpha 90.00
_cell_angle_beta 90.00
_cell_angle_gamma 90.00
loop_
_atom_site_label
_atom_site_fract_x
_atom_site_fract_y
_atom_site_fract_z
Re1 0.0000 0.0000 0.0000
As1 0.0000 0.5000 0.7247
Os1 0.0000 0.0000 0.4428
Os2 0.0000 0.5000 0.2261
```



# 9
An optimized crystal structure of ReAsOs2. Source: Alexandria via LeMat-Bulk, functional PBE-GGA.

## Properties
E	-9.41	eV/atom
ΔH_f (0 K)	0.48	eV per atom

Cell and atoms, written as CIF:
```
data_ReAsOs2
_symmetry_space_group_name_H-M 'P m m 2'
_symmetry_Int_Tables_number 25
_symmetry_space_group_name_Hall 'P 2 -2'
_cell_length_a 2.8716
_cell_length_b 3.9366
_cell_length_c 5.3486
_cell_angle_alpha 90.00
_cell_angle_beta 90.00
_cell_angle_gamma 90.00
loop_
_atom_site_label
_atom_site_fract_x
_atom_site_fract_y
_atom_site_fract_z
Re1 0.0000 0.0000 0.0000
As1 0.5000 0.5000 0.3122
Os1 0.0000 0.0000 0.4925
Os2 0.5000 0.5000 0.8167
```



# 10
An optimized crystal structure of ReAs2Os. Source: Alexandria via LeMat-Bulk, functional PBE-GGA.

## Properties
E	-7.97	eV/atom
energy relative to the lowest polymorph listed for this composition	0.66	eV/f.u.
ΔH_f (0 K)	0.27	eV per atom

Cell and atoms, written as CIF:
```
data_ReAs2Os
_symmetry_space_group_name_H-M 'C 1 m 1'
_symmetry_Int_Tables_number 8
_symmetry_space_group_name_Hall 'C -2y'
_cell_length_a 8.4836
_cell_length_b 3.1428
_cell_length_c 4.9737
_cell_angle_alpha 90.00
_cell_angle_beta 105.58
_cell_angle_gamma 90.00
loop_
_atom_site_label
_atom_site_fract_x
_atom_site_fract_y
_atom_site_fract_z
Re1 0.0000 0.0000 0.0000
As1 0.0161 0.5000 0.5924
As2 0.2829 0.0000 0.0113
Os1 0.2710 0.5000 0.4105
```



# 11
An optimized crystal structure of ReAsOs2. Source: Alexandria via LeMat-Bulk, functional PBE-GGA.

## Properties
E	-9.12	eV/atom
ΔH_f (0 K)	0.77	eV per atom

Cell and atoms, written as CIF:
```
data_ReAsOs2
_symmetry_space_group_name_H-M 'P 4/m m m'
_symmetry_Int_Tables_number 123
_symmetry_space_group_name_Hall '-P 4 2'
_cell_length_a 4.0801
_cell_length_b 4.0801
_cell_length_c 3.5944
_cell_angle_alpha 90.00
_cell_angle_beta 90.00
_cell_angle_gamma 90.00
loop_
_atom_site_label
_atom_site_fract_x
_atom_site_fract_y
_atom_site_fract_z
Re1 0.0000 0.0000 0.0000
As1 0.5000 0.5000 0.0000
Os1 0.0000 0.5000 0.5000
```



# 12
An optimized crystal structure of ReAsOs2. Source: Alexandria via LeMat-Bulk, functional PBE-GGA.

## Properties
E	-9.35	eV/atom
ΔH_f (0 K)	0.53	eV per atom

Cell and atoms, written as CIF:
```
data_ReAsOs2
_symmetry_space_group_name_H-M 'C m m m'
_symmetry_Int_Tables_number 65
_symmetry_space_group_name_Hall '-C 2 2'
_cell_length_a 5.8424
_cell_length_b 7.1699
_cell_length_c 2.8474
_cell_angle_alpha 90.00
_cell_angle_beta 90.00
_cell_angle_gamma 90.00
loop_
_atom_site_label
_atom_site_fract_x
_atom_site_fract_y
_atom_site_fract_z
Re1 0.0000 0.0000 0.0000
As1 0.0000 0.5000 0.0000
Os1 0.2500 0.2500 0.5000
```



# 13
An optimized crystal structure of ReAsOs2. Source: Alexandria via LeMat-Bulk, functional PBE-GGA.

## Properties
E	-9.60	eV/atom
ΔH_f (0 K)	0.29	eV per atom

Cell and atoms, written as CIF:
```
data_ReAsOs2
_symmetry_space_group_name_H-M 'P 4 m m'
_symmetry_Int_Tables_number 99
_symmetry_space_group_name_Hall 'P 4 -2'
_cell_length_a 2.9094
_cell_length_b 2.9094
_cell_length_c 6.8643
_cell_angle_alpha 90.00
_cell_angle_beta 90.00
_cell_angle_gamma 90.00
loop_
_atom_site_label
_atom_site_fract_x
_atom_site_fract_y
_atom_site_fract_z
Re1 0.0000 0.0000 0.0000
As1 0.5000 0.5000 0.2453
Os1 0.0000 0.0000 0.4689
Os2 0.5000 0.5000 0.7479
```



# 14
An optimized crystal structure of ReAsOs2. Source: Alexandria via LeMat-Bulk, functional PBE-GGA.

## Properties
E	-9.52	eV/atom
ΔH_f (0 K)	0.37	eV per atom

Cell and atoms, written as CIF:
```
data_ReAsOs2
_symmetry_space_group_name_H-M 'C 1 2/m 1'
_symmetry_Int_Tables_number 12
_symmetry_space_group_name_Hall '-C 2y'
_cell_length_a 9.2957
_cell_length_b 2.8387
_cell_length_c 4.5487
_cell_angle_alpha 90.00
_cell_angle_beta 93.80
_cell_angle_gamma 90.00
loop_
_atom_site_label
_atom_site_fract_x
_atom_site_fract_y
_atom_site_fract_z
Re1 0.0000 0.0000 0.0000
As1 0.0000 0.5000 0.5000
Os1 0.2292 0.5000 0.2383
```



# 15
An optimized crystal structure of ReAsOs2. Source: Alexandria via LeMat-Bulk, functional PBE-GGA.

## Properties
E	-9.36	eV/atom
ΔH_f (0 K)	0.53	eV per atom

Cell and atoms, written as CIF:
```
data_ReAsOs2
_symmetry_space_group_name_H-M 'P m m m'
_symmetry_Int_Tables_number 47
_symmetry_space_group_name_Hall '-P 2 2'
_cell_length_a 2.8930
_cell_length_b 4.5011
_cell_length_c 4.5612
_cell_angle_alpha 90.00
_cell_angle_beta 90.00
_cell_angle_gamma 90.00
loop_
_atom_site_label
_atom_site_fract_x
_atom_site_fract_y
_atom_site_fract_z
Re1 0.0000 0.0000 0.0000
As1 0.5000 0.0000 0.5000
Os1 0.0000 0.5000 0.5000
Os2 0.5000 0.5000 0.0000
```



# 16
An optimized crystal structure of ReAsOs2. Source: Alexandria via LeMat-Bulk, functional PBE-GGA.

## Properties
E	-9.31	eV/atom
ΔH_f (0 K)	0.58	eV per atom

Cell and atoms, written as CIF:
```
data_ReAsOs2
_symmetry_space_group_name_H-M 'I -4 m 2'
_symmetry_Int_Tables_number 119
_symmetry_space_group_name_Hall 'I -4 -2'
_cell_length_a 3.9327
_cell_length_b 3.9327
_cell_length_c 7.6237
_cell_angle_alpha 90.00
_cell_angle_beta 90.00
_cell_angle_gamma 90.00
loop_
_atom_site_label
_atom_site_fract_x
_atom_site_fract_y
_atom_site_fract_z
Re1 0.0000 0.0000 0.0000
As1 0.0000 0.5000 0.7500
Os1 0.0000 0.0000 0.5000
Os2 0.0000 0.5000 0.2500
```



# 17
An optimized crystal structure of Re2AsOs. Source: Alexandria via LeMat-Bulk, functional PBE-GGA.

## Properties
E	-9.46	eV/atom
ΔH_f (0 K)	0.73	eV per atom

Cell and atoms, written as CIF:
```
data_Re2AsOs
_symmetry_space_group_name_H-M 'P 4/m m m'
_symmetry_Int_Tables_number 123
_symmetry_space_group_name_Hall '-P 4 2'
_cell_length_a 3.7095
_cell_length_b 3.7095
_cell_length_c 4.4116
_cell_angle_alpha 90.00
_cell_angle_beta 90.00
_cell_angle_gamma 90.00
loop_
_atom_site_label
_atom_site_fract_x
_atom_site_fract_y
_atom_site_fract_z
Re1 0.0000 0.5000 0.0000
As1 0.0000 0.0000 0.5000
Os1 0.5000 0.5000 0.5000
```



# 18
An optimized crystal structure of ReAs2Os. Source: Alexandria via LeMat-Bulk, functional PBE-GGA.

## Properties
E	-7.89	eV/atom
energy relative to the lowest polymorph listed for this composition	0.99	eV/f.u.
ΔH_f (0 K)	0.35	eV per atom

Cell and atoms, written as CIF:
```
data_ReAs2Os
_symmetry_space_group_name_H-M 'P 4/m m m'
_symmetry_Int_Tables_number 123
_symmetry_space_group_name_Hall '-P 4 2'
_cell_length_a 4.3570
_cell_length_b 4.3570
_cell_length_c 3.0955
_cell_angle_alpha 90.00
_cell_angle_beta 90.00
_cell_angle_gamma 90.00
loop_
_atom_site_label
_atom_site_fract_x
_atom_site_fract_y
_atom_site_fract_z
Re1 0.0000 0.0000 0.0000
As1 0.0000 0.5000 0.5000
Os1 0.5000 0.5000 0.0000
```



# 19
An optimized crystal structure of ReAsOs2. Source: Alexandria via LeMat-Bulk, functional PBE-GGA.

## Properties
E	-9.34	eV/atom
ΔH_f (0 K)	0.55	eV per atom

Cell and atoms, written as CIF:
```
data_ReAsOs2
_symmetry_space_group_name_H-M 'I 4/m m m'
_symmetry_Int_Tables_number 139
_symmetry_space_group_name_Hall '-I 4 2'
_cell_length_a 3.9256
_cell_length_b 3.9256
_cell_length_c 7.6450
_cell_angle_alpha 90.00
_cell_angle_beta 90.00
_cell_angle_gamma 90.00
loop_
_atom_site_label
_atom_site_fract_x
_atom_site_fract_y
_atom_site_fract_z
Re1 0.0000 0.0000 0.0000
As1 0.0000 0.0000 0.5000
Os1 0.0000 0.5000 0.2500
```



# 20
An optimized crystal structure of ReAs2Os. Source: Alexandria via LeMat-Bulk, functional PBE-GGA.

## Properties
E	-7.96	eV/atom
energy relative to the lowest polymorph listed for this composition	0.71	eV/f.u.
ΔH_f (0 K)	0.28	eV per atom

Cell and atoms, written as CIF:
```
data_ReAs2Os
_symmetry_space_group_name_H-M 'P 1 m 1'
_symmetry_Int_Tables_number 6
_symmetry_space_group_name_Hall 'P -2y'
_cell_length_a 2.8409
_cell_length_b 3.9416
_cell_length_c 6.6830
_cell_angle_alpha 90.00
_cell_angle_beta 90.18
_cell_angle_gamma 90.00
loop_
_atom_site_label
_atom_site_fract_x
_atom_site_fract_y
_atom_site_fract_z
Re1 0.0000 0.0000 0.0000
As1 0.0017 0.0000 0.3712
As2 0.4986 0.5000 0.8036
Os1 0.5012 0.5000 0.1743
```